Computed, not measured: a relaxed ScTiSe2 crystal at the PBE-GGA level of DFT.

a = 4.669 Å, b = 4.669 Å, c = 4.669 Å
α = 60.00°, β = 60.00°, γ = 60.00°
Sites, in units of the cell vectors:
Sc  0.000  0.000  0.000
Ti  0.500  0.500  0.500
Se  0.250  0.250  0.250
Se  0.750  0.750  0.750

## Properties
space-group type	No. 225

***

Computed, not measured: a relaxed Sc3TiSe crystal at the PBE-GGA level of DFT.

a = 4.985 Å, b = 4.985 Å, c = 4.985 Å
α = 90.00°, β = 90.00°, γ = 90.00°
Sites, in units of the cell vectors:
Sc  0.000  0.000  0.500
Sc  0.000  0.500  0.000
Sc  0.500  0.000  0.000
Ti  0.500  0.500  0.500
Se  0.000  0.000  0.000

## Properties
space-group type	No. 221

***

Computed, not measured: a relaxed ScTiSe2 crystal at the PBE-GGA level of DFT.

a = 7.010 Å, b = 7.010 Å, c = 7.010 Å
α = 30.23°, β = 30.23°, γ = 30.23°
Sites, in units of the cell vectors:
Sc  0.000  0.000  0.000
Ti  0.170  0.170  0.170
Se  0.580  0.580  0.580
Se  0.755  0.755  0.755

## Properties
space-group type	No. 160

***

Computed, not measured: a relaxed ScTiVSe2 crystal at the PBE-GGA level of DFT.

a = 5.057 Å, b = 5.057 Å, c = 4.761 Å
α = 90.00°, β = 90.00°, γ = 90.00°
Sites, in units of the cell vectors:
Sc  0.000  0.000  0.000
Ti  0.500  0.500  0.500
V  0.000  0.000  0.500
Se  0.000  0.500  0.000
Se  0.500  0.000  0.000

## Properties
space-group type	No. 123

***

Computed, not measured: a relaxed ScTl5Se4 crystal at the PBE-GGA level of DFT.

a = 9.584 Å, b = 9.584 Å, c = 8.610 Å
α = 108.66°, β = 108.66°, γ = 25.00°
Sites, in units of the cell vectors:
Sc  0.000  0.000  0.000
Tl  0.000  0.000  0.500
Tl  0.312  0.312  0.684
Tl  0.342  0.342  0.201
Tl  0.658  0.658  0.799
Tl  0.688  0.688  0.316
Se  0.153  0.153  0.044
Se  0.479  0.479  0.774
Se  0.521  0.521  0.226
Se  0.847  0.847  0.956

## Properties
space-group type	No. 12

***

Computed, not measured: a relaxed Sc2TlSe crystal at the PBE-GGA level of DFT.

a = 3.505 Å, b = 4.680 Å, c = 5.456 Å
α = 90.00°, β = 90.00°, γ = 90.00°
Sites, in units of the cell vectors:
Sc  0.000  0.000  0.000
Sc  0.000  0.500  0.500
Tl  0.500  0.000  0.500
Se  0.500  0.500  0.000

## Properties
space-group type	No. 47

***

Computed, not measured: a relaxed ScTlSe4 crystal at the PBE-GGA level of DFT.

a = 5.853 Å, b = 5.853 Å, c = 5.853 Å
α = 60.00°, β = 60.00°, γ = 60.00°
Sites, in units of the cell vectors:
Sc  0.000  0.000  0.000
Tl  0.250  0.250  0.250
Se  0.122  0.626  0.626
Se  0.626  0.122  0.626
Se  0.626  0.626  0.122
Se  0.626  0.626  0.626

## Properties
space-group type	No. 216

***

Computed, not measured: a relaxed Sc2TlSe crystal at the PBE-GGA level of DFT.

a = 6.618 Å, b = 6.618 Å, c = 6.618 Å
α = 149.12°, β = 141.37°, γ = 50.25°
Sites, in units of the cell vectors:
Sc  0.000  0.000  0.000
Sc  0.734  0.234  0.500
Tl  0.311  0.811  0.500
Se  0.557  0.557  0.000

## Properties
space-group type	No. 44

***

Computed, not measured: a relaxed ScTlSe2 crystal at the PBE-GGA level of DFT.

a = 8.454 Å, b = 8.454 Å, c = 8.454 Å
α = 155.68°, β = 153.79°, γ = 36.06°
Sites, in units of the cell vectors:
Sc  0.000  0.000  0.000
Tl  0.735  0.235  0.500
Se  0.124  0.624  0.500
Se  0.434  0.434  0.000

## Properties
space-group type	No. 44

***

Computed, not measured: a relaxed ScTlSe crystal at the PBE-GGA level of DFT.

a = 4.590 Å, b = 4.590 Å, c = 7.939 Å
α = 90.00°, β = 90.00°, γ = 90.00°
Sites, in units of the cell vectors:
Sc  0.250  0.750  0.000
Sc  0.750  0.250  0.000
Tl  0.250  0.250  0.382
Tl  0.750  0.750  0.618
Se  0.250  0.250  0.830
Se  0.750  0.750  0.170

## Properties
space-group type	No. 129

***

Computed, not measured: a relaxed ScTlSe2 crystal at the PBE-GGA level of DFT.

a = 5.078 Å, b = 5.078 Å, c = 5.078 Å
α = 60.00°, β = 60.00°, γ = 60.00°
Sites, in units of the cell vectors:
Sc  0.000  0.000  0.000
Tl  0.750  0.750  0.750
Se  0.250  0.250  0.250
Se  0.500  0.500  0.500

## Properties
space-group type	No. 216

***

Computed, not measured: a relaxed Sc2TlSe crystal at the PBE-GGA level of DFT.

a = 4.992 Å, b = 4.992 Å, c = 4.992 Å
α = 60.00°, β = 60.00°, γ = 60.00°
Sites, in units of the cell vectors:
Sc  0.250  0.250  0.250
Sc  0.750  0.750  0.750
Tl  0.000  0.000  0.000
Se  0.500  0.500  0.500

## Properties
space-group type	No. 225

***

Computed, not measured: a relaxed Sc2TlSe crystal at the PBE-GGA level of DFT.

a = 5.125 Å, b = 5.125 Å, c = 3.522 Å
α = 98.73°, β = 98.73°, γ = 97.14°
Sites, in units of the cell vectors:
Sc  0.000  0.500  0.000
Sc  0.500  0.000  0.000
Tl  0.000  0.000  0.500
Se  0.500  0.500  0.500

## Properties
space-group type	No. 12

***

Computed, not measured: a relaxed ScTlSe2 crystal at the PBE-GGA level of DFT.

a = 3.480 Å, b = 3.480 Å, c = 7.942 Å
α = 90.00°, β = 90.00°, γ = 90.00°
Sites, in units of the cell vectors:
Sc  0.000  0.000  0.000
Tl  0.000  0.000  0.500
Se  0.500  0.500  0.196
Se  0.500  0.500  0.804

## Properties
space-group type	No. 123

***

Computed, not measured: a relaxed ScTlSe crystal at the PBE-GGA level of DFT.

a = 4.550 Å, b = 4.550 Å, c = 4.437 Å
α = 90.00°, β = 90.00°, γ = 120.00°
Sites, in units of the cell vectors:
Sc  0.000  0.000  0.000
Tl  0.333  0.667  0.500
Se  0.667  0.333  0.000

## Properties
space-group type	No. 187

***

Computed, not measured: a relaxed Sc2TlSe crystal at the PBE-GGA level of DFT.

a = 3.826 Å, b = 4.247 Å, c = 5.754 Å
α = 90.00°, β = 90.00°, γ = 90.00°
Sites, in units of the cell vectors:
Sc  0.000  0.000  0.000
Sc  0.500  0.500  0.500
Tl  0.000  0.000  0.500
Se  0.500  0.500  0.000

## Properties
space-group type	No. 47

***

Computed, not measured: a relaxed ScTlSe2 crystal at the PBE-GGA level of DFT.

a = 5.065 Å, b = 5.065 Å, c = 3.625 Å
α = 94.62°, β = 94.62°, γ = 90.08°
Sites, in units of the cell vectors:
Sc  0.000  0.000  0.000
Tl  0.500  0.500  0.000
Se  0.000  0.500  0.500
Se  0.500  0.000  0.500

## Properties
space-group type	No. 12

***

Computed, not measured: a relaxed ScTlSe crystal at the PBE-GGA level of DFT.

a = 4.836 Å, b = 4.836 Å, c = 4.836 Å
α = 60.00°, β = 60.00°, γ = 60.00°
Sites, in units of the cell vectors:
Sc  0.000  0.000  0.000
Tl  0.500  0.500  0.500
Se  0.750  0.750  0.750

## Properties
space-group type	No. 216

***

Computed, not measured: a relaxed Sc2TlSe crystal at the PBE-GGA level of DFT.

a = 6.304 Å, b = 6.304 Å, c = 6.304 Å
α = 106.31°, β = 106.31°, γ = 116.01°
Sites, in units of the cell vectors:
Sc  0.094  0.625  0.969
Sc  0.375  0.344  0.469
Sc  0.656  0.125  0.031
Sc  0.875  0.906  0.531
Tl  0.250  0.750  0.500
Tl  0.500  0.500  0.000
Se  0.000  0.000  0.000
Se  0.750  0.250  0.500

## Properties
space-group type	No. 122

***

Computed, not measured: a relaxed Sc2TlSe crystal at the PBE-GGA level of DFT.

a = 5.168 Å, b = 5.168 Å, c = 3.681 Å
α = 90.00°, β = 90.00°, γ = 90.00°
Sites, in units of the cell vectors:
Sc  0.000  0.500  0.000
Sc  0.500  0.000  0.000
Tl  0.000  0.000  0.499
Se  0.500  0.500  0.999

## Properties
space-group type	No. 99

***

Results for density: 5.786, 3.509, 5.382, 4.115, 7.272, 6.927, 6.620, 6.706, 6.160, 6.518, 7.303, 7.046, 6.939, 7.033, 6.854, 6.629, 7.320, 6.816, 6.491, 6.303 (in g cm⁻³, following the order of the records).
Results for uncorrected energy: -25.44, -30.97, -26.17, -27.82, -39.11, -20.83, -21.97, -21.29, -20.09, -14.51, -16.63, -20.56, -20.97, -19.59, -14.10, -21.65, -18.25, -13.24, -20.98, -21.43 (in eV per formula unit, following the order of the records).